(1)
First-principles (PBE) data for a geometry-optimized ThIr3 structure, as listed in Alexandria.

It has space group I4/mmm (No. 139), with a = 3.8767 Å, b = 3.8767 Å, c = 10.9240 Å, α = 90.00°, β = 90.00° and γ = 90.00°. Symmetry generates all atoms from Th at (0.0000, 0.0000, 0.0000), Ir at (0.0000, 0.0000, 0.2675) and Ir at (0.0000, 0.0000, 0.5000).

The calculation puts the calculated total energy at -67.76 eV per cell. For the formation energy, the calculation gives 0.03 eV per atom.



(2)
First-principles (PBE) data for a geometry-optimized Cs2ErPbBr6 structure, as listed in Alexandria.

It has space group Pmmn (No. 59, origin choice 2), with a = 7.8702 Å, b = 11.4933 Å, c = 9.4941 Å, α = 90.00°, β = 90.00° and γ = 90.00°. Symmetry generates all atoms from Cs at (0.2500, 0.0091, 0.2009), Er at (0.2500, 0.7500, 0.7760), Pb at (0.2500, 0.2500, 0.7131), Br at (0.0059, 0.2500, 0.4218), Br at (0.0057, 0.7500, 0.9904) and Br at (0.2500, 0.5069, 0.7883).

The calculation puts the calculated total energy at -69.97 eV per cell. The calculation puts the energy relative to the elements, uncorrected at -15.0 eV per formula unit.



(3)
First-principles (PBE) data for a geometry-optimized LaY3Te4 structure, as listed in Alexandria.

It has space group Cmmm (No. 65), with a = 8.9472 Å, b = 12.5063 Å, c = 4.3672 Å, α = 90.00°, β = 90.00° and γ = 90.00°. Symmetry generates all atoms from La at (0.0000, 0.0000, 0.0000), Y at (0.0000, 0.5000, 0.0000), Y at (0.2500, 0.2500, 0.5000), Te at (0.0000, 0.2552, 0.0000) and Te at (0.2393, 0.5000, 0.5000).

The calculation puts the calculated total energy at -95.81 eV per cell. The value obtained for the energy above the lowest structure with this stoichiometry is 0 meV/atom. The calculation puts the energy relative to the elements, uncorrected at -11.0 eV per formula unit.



(4)
First-principles (PBE) data for a geometry-optimized Ba2ZnCdNi structure, as listed in Alexandria.

It has space group P4/mmm (No. 123), with a = 5.9084 Å, b = 5.9084 Å, c = 5.0433 Å, α = 90.00°, β = 90.00° and γ = 90.00°. Symmetry generates all atoms from Ba at (0.0000, 0.5000, 0.0000), Zn at (0.0000, 0.0000, 0.5000), Cd at (0.5000, 0.5000, 0.5000) and Ni at (0.5000, 0.5000, 0.0000).

The calculation puts the calculated total energy at -11.94 eV per cell. For the formation energy, the calculation gives -0.03 eV per atom. The value obtained for the energy above the lowest structure with this stoichiometry is 78 meV/atom.



(5)
First-principles (PBE) data for a geometry-optimized K2ZrCr structure, as listed in Alexandria.

It has space group Fm-3m (No. 225), with a = 8.3119 Å, b = 8.3119 Å, c = 8.3119 Å, α = 90.00°, β = 90.00° and γ = 90.00°. Symmetry generates all atoms from K at (0.2500, 0.2500, 0.2500), Zr at (0.0000, 0.0000, 0.0000) and Cr at (0.0000, 0.0000, 0.5000).

The calculation puts the calculated total energy at -57.26 eV per cell. For the formation energy, the calculation gives 1.51 eV per atom. The value obtained for the energy above the lowest structure with this stoichiometry is 835 meV/atom.



(6)
First-principles (PBE) data for a geometry-optimized LuPaCo structure, as listed in Alexandria.

It has space group F-43m (No. 216), with a = 6.4922 Å, b = 6.4922 Å, c = 6.4922 Å, α = 90.00°, β = 90.00° and γ = 90.00°. Symmetry generates all atoms from Lu at (0.0000, 0.0000, 0.0000), Pa at (0.0000, 0.0000, 0.5000) and Co at (0.2500, 0.2500, 0.7500).

The calculation puts the calculated total energy at -83.39 eV per cell. For the formation energy, the calculation gives 0.09 eV per atom. The value obtained for the energy above the lowest structure with this stoichiometry is 236 meV/atom.



(7)
First-principles (PBE) data for a geometry-optimized BaCeHgGe structure, as listed in Alexandria.

It has space group F-43m (No. 216), with a = 7.8784 Å, b = 7.8784 Å, c = 7.8784 Å, α = 90.00°, β = 90.00° and γ = 90.00°. Symmetry generates all atoms from Ba at (0.0000, 0.0000, 0.0000), Ce at (0.0000, 0.0000, 0.5000), Hg at (0.2500, 0.2500, 0.2500) and Ge at (0.2500, 0.2500, 0.7500).

The calculation puts the calculated total energy at -56.57 eV per cell. For the formation energy, the calculation gives -0.34 eV per atom.



(8)
First-principles (PBE) data for a geometry-optimized LiCdSeN2 structure, as listed in Alexandria.

It has space group P4/mmm (No. 123), with a = 4.3231 Å, b = 4.3231 Å, c = 5.6204 Å, α = 90.00°, β = 90.00° and γ = 90.00°. Symmetry generates all atoms from Li at (0.0000, 0.0000, 0.0000), Cd at (0.5000, 0.5000, 0.5000), Se at (0.5000, 0.5000, 0.0000) and N at (0.0000, 0.5000, 0.5000).

The calculation puts the calculated total energy at -16.31 eV per cell. The value obtained for the energy above the lowest structure with this stoichiometry is 68 meV/atom. The calculation puts the energy relative to the elements, uncorrected at 6.7 eV per formula unit.



(9)
First-principles (PBE) data for a geometry-optimized Na6AcHg12 structure, as listed in Alexandria.

It has space group R-3 (No. 148, hexagonal axes), with a = 14.3232 Å, b = 14.3232 Å, c = 8.3898 Å, α = 90.00°, β = 90.00° and γ = 120.00°. Symmetry generates all atoms from Na at (0.0293, 0.7590, 0.3212), Ac at (0.0000, 0.0000, 0.0000), Hg at (0.0157, 0.8725, 0.6554) and Hg at (0.0602, 0.4999, 0.6786).

The calculation puts the calculated total energy at -61.63 eV per cell. For the formation energy, the calculation gives -0.26 eV per atom.



(10)
First-principles (PBE) data for a geometry-optimized Mg3H2Ir2 structure, as listed in Alexandria.

It has space group P-1 (No. 2), with a = 4.5939 Å, b = 4.6271 Å, c = 5.2442 Å, α = 71.14°, β = 71.25° and γ = 60.34°. Symmetry generates all atoms from Mg at (0.0000, 0.0000, 0.0000), Mg at (0.2604, 0.2627, 0.3301), H at (0.2764, 0.7261, 0.5046) and Ir at (0.3697, 0.3628, 0.7867).

The calculation puts the calculated total energy at -31.32 eV per cell. The value obtained for the energy above the lowest structure with this stoichiometry is 25 meV/atom.



(11)
First-principles (PBE) data for a geometry-optimized Pu2SiPd4 structure, as listed in Alexandria.

It has space group Fmmm (No. 69), with a = 8.4041 Å, b = 8.4496 Å, c = 8.5661 Å, α = 90.00°, β = 90.00° and γ = 90.00°. Symmetry generates all atoms from Pu at (0.2500, 0.2500, 0.2500), Si at (0.0000, 0.0000, 0.0000), Pd at (0.0000, 0.0000, 0.2725) and Pd at (0.0000, 0.2229, 0.5000).

The calculation puts the calculated total energy at -229.66 eV per cell. The calculation puts the energy relative to the elements, uncorrected at -2.6 eV per formula unit.



(12)
First-principles (PBE) data for a geometry-optimized DyHo5Rh4 structure, as listed in Alexandria.

It has space group Immm (No. 71), with a = 4.2261 Å, b = 7.2602 Å, c = 16.3755 Å, α = 90.00°, β = 90.00° and γ = 90.00°. Symmetry generates all atoms from Dy at (0.0000, 0.0000, 0.0000), Ho at (0.0000, 0.2555, 0.3349), Ho at (0.0000, 0.5000, 0.0000), Rh at (0.0000, 0.0000, 0.1990) and Rh at (0.0000, 0.2410, 0.5000).

The calculation puts the calculated total energy at -127.11 eV per cell. For the formation energy, the calculation gives -0.67 eV per atom.